The following is a DFT calculation (PBE-GGA) of a geometry-optimized YZn6Cd6 structure.

Values from the calculation:
Formation enthalpy at 0 K ... -1.464 eV/f.u.

a = 5.5844 Å, b = 7.2127 Å, c = 7.2127 Å
α = 82.34°, β = 67.22°, γ = 67.22°
Sites, in units of the cell vectors:
1 Cd 0.0000 0.6550 0.3450
2 Cd 0.3040 0.1960 0.1960
3 Cd 0.6546 0.3454 0.3454
4 Cd 0.3454 0.6546 0.6546
5 Cd 0.0000 0.3450 0.6550
6 Cd 0.6960 0.8040 0.8040
7 Zn 0.5000 0.2272 0.7728
8 Zn 0.5000 0.0000 0.5000
9 Zn 0.0000 0.5000 0.0000
10 Zn 0.5000 0.7728 0.2272
11 Zn 0.0000 0.0000 0.5000
12 Zn 0.5000 0.5000 0.0000
13 Y 0.0000 0.0000 0.0000


The following is a DFT calculation (PBE-GGA) of a geometry-optimized Y2TaRu structure.

Values from the calculation:
Formation enthalpy at 0 K ... 1.402 eV/f.u.
Energy above the lowest structure with this stoichiometry ... 0.460 eV per atom

a = 4.9992 Å, b = 4.9992 Å, c = 4.9992 Å
α = 60.00°, β = 60.00°, γ = 60.00°
Site moments in Bohr magnetons follow the coordinates.
Sites, in units of the cell vectors:
1 Y 0.2500 0.2500 0.2500  0.24
2 Y 0.7500 0.7500 0.7500  0.24
3 Ru 0.0000 0.0000 0.0000  0.07
4 Ta 0.5000 0.5000 0.5000  1.38